{"formula": "Na3ZnHg", "functional": "PBE", "state": "optimized geometry", "cell": [[5.6019, 0.0000, 0.0000], [0.0000, 5.6019, 0.0000], [0.0000, 0.0000, 5.6019]], "species": ["Na", "Na", "Hg", "Na", "Zn"], "frac_coords": [[0.5000, 0.0000, 0.0000], [0.0000, 0.0000, 0.5000], [0.5000, 0.5000, 0.5000], [0.0000, 0.5000, 0.0000], [0.0000, 0.0000, 0.0000]], "e_form_ev_per_atom": 0.1588, "e_above_lowest_polymorph_mev_per_atom": 0, "vol_a3_per_fu": 175.8, "dos_at_fermi_per_ev_cell": 2.432}

{"formula": "Na2ZnHg4", "functional": "PBE", "state": "optimized geometry", "cell": [[-2.0428, 2.8232, -0.5540], [-3.3479, -2.0932, 1.6778], [4.4597, 5.1602, 9.8518]], "species": ["Na", "Zn", "Hg", "Hg", "Hg", "Na", "Hg"], "frac_coords": [[0.5000, 0.8041, 0.6083], [0.0000, 0.5000, 0.0000], [0.5000, 0.9377, 0.8755], [0.0000, 0.3673, 0.7345], [0.0000, 0.6327, 0.2655], [0.5000, 0.1959, 0.3917], [0.5000, 0.0623, 0.1245]], "e_form_ev_per_atom": -0.0519, "e_above_lowest_polymorph_mev_per_atom": 0, "vol_a3_per_fu": 178.5, "dos_at_fermi_per_ev_cell": 1.762}

{"formula": "Na4ZnHg5", "functional": "PBE", "state": "optimized geometry", "cell": [[-1.6519, -1.9930, -2.6888], [0.5184, -3.1146, 1.9902], [-15.8194, 2.4276, 7.9198]], "species": ["Hg", "Hg", "Hg", "Na", "Na", "Hg", "Zn", "Na", "Hg", "Na"], "frac_coords": [[0.5000, 0.5000, 0.7050], [0.5000, 0.5000, 0.0868], [0.5000, 0.5000, 0.5000], [0.0000, 0.0000, 0.8123], [0.0000, 0.0000, 0.6031], [0.5000, 0.5000, 0.2950], [0.0000, 0.0000, 0.0000], [0.0000, 0.0000, 0.3969], [0.5000, 0.5000, 0.9132], [0.0000, 0.0000, 0.1877]], "e_form_ev_per_atom": -0.1801, "vol_a3_per_fu": 248.8, "dos_at_fermi_per_ev_cell": 4.401}

{"formula": "Na2ZnHg5", "functional": "PBE", "state": "optimized geometry", "cell": [[6.7012, 0.0000, -0.0001], [0.0001, 6.7001, 0.0432], [-3.3504, -3.3254, 4.3199]], "species": ["Na", "Na", "Hg", "Zn", "Hg", "Hg", "Hg", "Hg"], "frac_coords": [[0.2223, 0.7212, 0.4445], [0.7223, 0.2231, 0.4446], [0.2224, 0.2225, 0.9435], [0.2203, 0.2195, 0.4406], [0.7211, 0.2226, 0.9435], [0.2232, 0.7225, 0.9455], [0.7223, 0.7225, 0.9455], [0.7232, 0.7231, 0.4464]], "e_form_ev_per_atom": -0.1155, "vol_a3_per_fu": 194.9, "dos_at_fermi_per_ev_cell": 3.160}